{
  "formula": "CaMgC2O6",
  "functional": "PBEsol",
  "state": "relaxed",
  "lattice": [[4.821, 0.000, 0.000], [2.410, 4.175, 0.000], [2.410, 1.392, 5.289]],
  "species": ["Mg", "C", "C", "Ca", "O", "O", "O", "O", "O", "O"],
  "frac_coords": [[0.500, 0.500, 0.500], [0.757, 0.757, 0.729], [0.243, 0.243, 0.271], [0.000, 0.000, 0.000], [0.039, 0.724, 0.732], [0.505, 0.039, 0.732], [0.724, 0.505, 0.732], [0.961, 0.276, 0.268], [0.495, 0.961, 0.268], [0.276, 0.495, 0.268]],
  "space_group": "R-3, No. 148",
  "total_energy_ev_per_atom": -7.643,
  "formation_energy_uncorrected_ev_per_atom": -2.18,
  "rho_kg_m3": 2876
}

=====

{
  "formula": "AgPb2Br",
  "functional": "PBEsol",
  "state": "relaxed",
  "lattice": [[3.439, 0.000, 0.000], [0.000, 5.050, 0.000], [0.000, 0.000, 6.030]],
  "species": ["Pb", "Pb", "Br", "Ag"],
  "frac_coords": [[0.000, 0.000, 0.000], [0.500, 0.000, 0.500], [0.000, 0.500, 0.500], [0.500, 0.500, 0.000]],
  "space_group": "Pmmm, No. 47",
  "total_energy_ev_per_atom": -3.310,
  "formation_energy_uncorrected_ev_per_atom": -0.02,
  "rho_kg_m3": 9549
}

=====

{
  "formula": "La5Y",
  "functional": "PBEsol",
  "state": "relaxed",
  "lattice": [[3.624, 0.000, 0.000], [0.000, 3.624, 0.000], [0.000, 0.000, 15.203]],
  "species": ["Y", "La", "La", "La", "La", "La"],
  "frac_coords": [[0.500, 0.500, 0.500], [0.000, 0.000, 0.665], [0.500, 0.500, 0.831], [0.000, 0.000, 0.000], [0.500, 0.500, 0.169], [0.000, 0.000, 0.335]],
  "space_group": "P4/mmm, No. 123",
  "total_energy_ev_per_atom": -5.579,
  "de_polymorph_ev_per_atom": 0.0000,
  "rho_kg_m3": 6517,
  "e_form_ev_per_atom": 0.01
}

=====

{
  "formula": "CaCoSe",
  "functional": "PBEsol",
  "state": "relaxed",
  "lattice": [[-1.180, 3.344, 1.701], [-0.969, -0.754, -3.736], [-3.439, -1.857, 1.267]],
  "species": ["Ca", "Co", "Se"],
  "frac_coords": [[0.000, 0.000, 0.000], [0.667, 0.333, 0.500], [0.333, 0.667, 0.500]],
  "space_group": "P-6m2, No. 187",
  "total_energy_ev_per_atom": -5.365,
  "de_polymorph_ev_per_atom": 0.0000,
  "formation_energy_uncorrected_ev_per_atom": -0.79,
  "rho_kg_m3": 5369
}

=====

{
  "formula": "ZrMoIr4",
  "functional": "PBEsol",
  "state": "relaxed",
  "lattice": [[-0.963, 4.085, -2.944], [-1.614, -0.640, -4.823], [-4.829, 1.167, -1.263]],
  "species": ["Ir", "Ir", "Ir", "Ir", "Mo", "Zr"],
  "frac_coords": [[0.375, 0.375, 0.375], [0.375, 0.375, 0.874], [0.874, 0.375, 0.375], [0.375, 0.874, 0.375], [0.750, 0.750, 0.750], [0.000, 0.000, 0.000]],
  "space_group": "F-43m, No. 216",
  "total_energy_ev_per_atom": -10.212,
  "rho_kg_m3": 16667,
  "e_form_ev_per_atom": -0.19
}

=====

{
  "formula": "PrAu6",
  "functional": "PBEsol",
  "state": "relaxed",
  "lattice": [[-0.451, -2.916, 4.630], [0.524, -4.660, -2.854], [8.833, -1.185, 1.428]],
  "species": ["Pr", "Pr", "Au", "Au", "Au", "Au", "Au", "Au", "Au", "Au", "Au", "Au", "Au", "Au"],
  "frac_coords": [[0.684, 0.316, 0.250], [0.316, 0.684, 0.750], [0.218, 0.385, 0.082], [0.615, 0.782, 0.418], [0.956, 0.844, 0.137], [0.844, 0.956, 0.637], [0.044, 0.156, 0.863], [0.167, 0.544, 0.374], [0.456, 0.833, 0.126], [0.156, 0.044, 0.363], [0.385, 0.218, 0.582], [0.544, 0.167, 0.874], [0.782, 0.615, 0.918], [0.833, 0.456, 0.626]],
  "space_group": "C2/c, No. 15",
  "total_energy_ev_per_atom": -4.525,
  "rho_kg_m3": 16395,
  "e_form_ev_per_atom": -0.42
}

=====

{
  "formula": "Be3NbO",
  "functional": "PBEsol",
  "state": "relaxed",
  "lattice": [[4.460, 0.000, 0.000], [0.000, 4.460, 0.000], [0.000, 0.000, 4.460]],
  "species": ["Be", "Be", "Be", "Nb", "O"],
  "frac_coords": [[0.000, 0.500, 0.000], [0.000, 0.000, 0.500], [0.500, 0.000, 0.000], [0.000, 0.000, 0.000], [0.500, 0.500, 0.500]],
  "space_group": "Pm-3m, No. 221",
  "total_energy_ev_per_atom": -3.330,
  "de_polymorph_ev_per_atom": 2.3516,
  "formation_energy_uncorrected_ev_per_atom": 2.28,
  "rho_kg_m3": 2545
}

=====

{
  "formula": "BaBi2Ir2",
  "functional": "PBEsol",
  "state": "relaxed",
  "lattice": [[4.298, 0.000, 0.000], [0.000, 4.298, 0.000], [-2.149, -2.149, 6.935]],
  "species": ["Ir", "Ir", "Bi", "Bi", "Ba"],
  "frac_coords": [[0.250, 0.750, 0.500], [0.750, 0.250, 0.500], [0.366, 0.366, 0.732], [0.634, 0.634, 0.268], [0.000, 0.000, 0.000]],
  "space_group": "I4/mmm, No. 139",
  "total_energy_ev_per_atom": -6.187,
  "rho_kg_m3": 12181,
  "e_form_ev_per_atom": -0.11
}

=====

{
  "formula": "SrTe2Rh",
  "functional": "PBEsol",
  "state": "relaxed",
  "lattice": [[3.922, 0.000, 0.000], [0.000, 3.922, 0.000], [0.000, 0.000, 6.734]],
  "species": ["Rh", "Sr", "Te", "Te"],
  "frac_coords": [[0.000, 0.000, 0.392], [0.500, 0.500, 0.787], [0.000, 0.000, 0.003], [0.500, 0.500, 0.318]],
  "space_group": "P4mm, No. 99",
  "total_energy_ev_per_atom": -4.757,
  "de_polymorph_ev_per_atom": 0.2753,
  "formation_energy_uncorrected_ev_per_atom": -0.50,
  "rho_kg_m3": 7146
}

=====

{
  "formula": "SrLi2Au",
  "functional": "PBEsol",
  "state": "relaxed",
  "lattice": [[-3.645, -0.435, -0.184], [0.187, -2.645, 2.546], [-0.832, 4.829, 5.077]],
  "species": ["Sr", "Au", "Li", "Li"],
  "frac_coords": [[0.000, 0.000, 0.545], [0.500, 0.500, 0.805], [0.000, 0.000, 0.978], [0.500, 0.500, 0.172]],
  "space_group": "P4mm, No. 99",
  "total_energy_ev_per_atom": -2.729,
  "de_polymorph_ev_per_atom": 0.0747,
  "rho_kg_m3": 5199,
  "e_form_ev_per_atom": -0.30
}

=====

{
  "formula": "Mn3Se",
  "functional": "PBEsol",
  "state": "relaxed",
  "lattice": [[-1.096, -0.279, 2.905], [-0.672, -3.938, -0.632], [4.312, 0.572, 0.010]],
  "species": ["Mn", "Mn", "Mn", "Se"],
  "frac_coords": [[0.500, 0.500, 0.000], [0.747, 0.254, 0.494], [0.253, 0.746, 0.506], [0.000, 0.000, 0.000]],
  "space_group": "C2/m, No. 12",
  "total_energy_ev_per_atom": -8.014,
  "de_polymorph_ev_per_atom": 0.0903,
  "formation_energy_uncorrected_ev_per_atom": 0.27,
  "rho_kg_m3": 8327
}

=====

{
  "formula": "Li2PmPb",
  "functional": "PBEsol",
  "state": "relaxed",
  "lattice": [[-3.940, -2.347, -1.630], [-0.461, -0.977, -4.746], [0.382, -4.585, -1.590]],
  "species": ["Pb", "Pm", "Li", "Li"],
  "frac_coords": [[0.500, 0.500, 0.500], [0.000, 0.000, 0.000], [0.250, 0.250, 0.250], [0.750, 0.750, 0.750]],
  "space_group": "Fm-3m, No. 225",
  "total_energy_ev_per_atom": -3.636,
  "rho_kg_m3": 7454,
  "e_form_ev_per_atom": -0.37
}